{
  "formula": "ZnPdCl2",
  "functional": "SCAN",
  "state": "single point on PBEsol structure",
  "formation_energy_uncorrected_ev_per_atom": -0.103,
  "sg": "No. 166",
  "lattice": [[3.4274, 0.0000, 0.0000], [1.7137, 2.9682, 0.0000], [1.7137, 0.9894, 7.8827]],
  "species": ["Zn", "Pd", "Cl", "Cl"],
  "fractional_positions": [[0.0000, 0.0000, 0.0000], [0.5000, 0.5000, 0.5000], [0.9050, 0.9050, 0.2851], [0.0950, 0.0950, 0.7149]]
}

---

{
  "formula": "Se2SBrCl",
  "functional": "SCAN",
  "state": "single point on PBEsol structure",
  "formation_energy_uncorrected_ev_per_atom": 0.643,
  "sg": "No. 123",
  "lattice": [[4.8510, 0.0000, 0.0000], [0.0000, 4.8510, 0.0000], [0.0000, 0.0000, 4.8898]],
  "species": ["S", "Se", "Se", "Br", "Cl"],
  "fractional_positions": [[0.0000, 0.0000, 0.0000], [0.0000, 0.5000, 0.0000], [0.5000, 0.0000, 0.0000], [0.0000, 0.0000, 0.5000], [0.5000, 0.5000, 0.5000]]
}

---

{
  "formula": "Ho5Si3",
  "functional": "SCAN",
  "state": "single point on PBEsol structure",
  "formation_energy_uncorrected_ev_per_atom": -0.736,
  "sg": "No. 193",
  "lattice": [[6.2181, 0.0000, 0.0000], [0.0000, 8.3086, 0.0000], [0.0000, -4.1543, 7.1954]],
  "species": ["Ho", "Ho", "Ho", "Ho", "Ho", "Ho", "Ho", "Ho", "Ho", "Ho", "Si", "Si", "Si", "Si", "Si", "Si"],
  "fractional_positions": [[0.0000, 0.6667, 0.3333], [0.5000, 0.3333, 0.6667], [0.0000, 0.3333, 0.6667], [0.5000, 0.6667, 0.3333], [0.7500, 0.7573, 0.7573], [0.7500, 0.0000, 0.2427], [0.7500, 0.2427, 0.0000], [0.2500, 0.2427, 0.2427], [0.2500, 0.0000, 0.7573], [0.2500, 0.7573, 0.0000], [0.7500, 0.3951, 0.3951], [0.7500, 0.0000, 0.6049], [0.7500, 0.6049, 0.0000], [0.2500, 0.6049, 0.6049], [0.2500, 0.0000, 0.3951], [0.2500, 0.3951, 0.0000]]
}

---

{
  "formula": "RbSrBe2",
  "functional": "SCAN",
  "state": "single point on PBEsol structure",
  "sg": "No. 122",
  "ef_ev_per_atom": 1.19,
  "lattice": [[6.9897, -0.1420, 0.0000], [-3.5793, 6.0054, 0.0000], [-1.7052, -2.9317, 6.1134]],
  "species": ["Sr", "Sr", "Rb", "Rb", "Be", "Be", "Be", "Be"],
  "fractional_positions": [[0.2500, 0.7500, 0.5000], [0.0000, 0.0000, 0.0000], [0.7500, 0.2500, 0.5000], [0.5000, 0.5000, 0.0000], [0.8921, 0.8750, 0.5171], [0.3579, 0.3750, 0.4829], [0.6250, 0.1079, 0.9829], [0.1250, 0.6421, 0.0171]]
}

---

{
  "formula": "Er5Sn18Rh6",
  "functional": "SCAN",
  "state": "single point on PBEsol structure",
  "sg": "No. 216",
  "ef_ev_per_atom": -0.59,
  "lattice": [[-5.5248, 0.1316, -7.9863], [0.6828, -7.1873, -6.4960], [-7.2693, -6.3653, -0.9814]],
  "species": ["Er", "Er", "Er", "Er", "Er", "Sn", "Sn", "Sn", "Sn", "Sn", "Sn", "Sn", "Sn", "Sn", "Sn", "Sn", "Sn", "Sn", "Sn", "Sn", "Sn", "Sn", "Sn", "Rh", "Rh", "Rh", "Rh", "Rh", "Rh"],
  "fractional_positions": [[0.0000, 0.0000, 0.0000], [0.1095, 0.6302, 0.6302], [0.6302, 0.6302, 0.6302], [0.6302, 0.1095, 0.6302], [0.6302, 0.6302, 0.1095], [0.7614, 0.4129, 0.4129], [0.4129, 0.4129, 0.4129], [0.4129, 0.7614, 0.4129], [0.4129, 0.4129, 0.7614], [0.2500, 0.2500, 0.2500], [0.3406, 0.0094, 0.0094], [0.3406, 0.0094, 0.6406], [0.3406, 0.6406, 0.0094], [0.6406, 0.0094, 0.0094], [0.0094, 0.6406, 0.0094], [0.0094, 0.0094, 0.6406], [0.0094, 0.3406, 0.6406], [0.0094, 0.3406, 0.0094], [0.6406, 0.3406, 0.0094], [0.0094, 0.6406, 0.3406], [0.6406, 0.0094, 0.3406], [0.0094, 0.0094, 0.3406], [0.7500, 0.7500, 0.7500], [0.2552, 0.7448, 0.2552], [0.2552, 0.2552, 0.7448], [0.2552, 0.7448, 0.7448], [0.7448, 0.2552, 0.7448], [0.7448, 0.7448, 0.2552], [0.7448, 0.2552, 0.2552]]
}

---

{
  "formula": "Zr24P8H",
  "functional": "SCAN",
  "state": "single point on PBEsol structure",
  "sg": "No. 3",
  "energy_ev_per_atom": -25.89,
  "lattice": [[-1.4617, -3.4806, -3.7430], [10.1455, -0.6876, -3.3227], [1.6878, -8.0628, 6.8384]],
  "species": ["Zr", "Zr", "Zr", "Zr", "Zr", "Zr", "Zr", "Zr", "Zr", "Zr", "Zr", "Zr", "Zr", "Zr", "Zr", "Zr", "Zr", "Zr", "Zr", "Zr", "Zr", "Zr", "Zr", "Zr", "P", "P", "P", "P", "P", "P", "P", "P", "H"],
  "fractional_positions": [[0.2081, 0.6068, 0.9150], [0.2081, 0.3932, 0.0850], [0.7081, 0.4155, 0.8932], [0.7081, 0.5845, 0.1068], [0.7832, 0.8907, 0.5868], [0.7832, 0.1093, 0.4132], [0.2900, 0.0873, 0.6104], [0.2900, 0.9127, 0.3896], [0.0256, 0.9728, 0.8636], [0.0256, 0.0272, 0.1364], [0.5250, 0.3623, 0.5272], [0.5250, 0.6377, 0.4728], [0.9693, 0.5268, 0.6372], [0.9693, 0.4732, 0.3628], [0.4701, 0.1377, 0.9727], [0.4701, 0.8623, 0.0273], [0.7318, 0.7149, 0.8209], [0.7318, 0.2851, 0.1791], [0.2329, 0.3214, 0.7855], [0.2329, 0.6786, 0.2145], [0.2618, 0.7839, 0.6805], [0.2618, 0.2161, 0.3195], [0.7668, 0.1804, 0.7168], [0.7668, 0.8196, 0.2832], [0.5341, 0.9596, 0.7943], [0.5341, 0.0404, 0.2057], [0.0348, 0.2937, 0.5404], [0.0348, 0.7063, 0.4596], [0.4605, 0.5407, 0.7063], [0.4605, 0.4593, 0.2937], [0.9608, 0.2070, 0.9598], [0.9608, 0.7930, 0.0402], [0.0384, 0.0000, 0.5000]]
}

---

{
  "formula": "TiInTe2N",
  "functional": "SCAN",
  "state": "single point on PBEsol structure",
  "formation_energy_uncorrected_ev_per_atom": -0.177,
  "sg": "No. 123",
  "lattice": [[-2.3153, -2.8804, 0.2896], [-0.2133, -0.3890, -5.5735], [4.3612, -3.4978, 0.0773]],
  "species": ["N", "Te", "Te", "Ti", "In"],
  "fractional_positions": [[0.5000, 0.0000, 0.0000], [0.0000, 0.0000, 0.5000], [0.0000, 0.5000, 0.0000], [0.0000, 0.0000, 0.0000], [0.5000, 0.5000, 0.5000]]
}

---

{
  "formula": "YSc2AlGe",
  "functional": "SCAN",
  "state": "single point on PBEsol structure",
  "sg": "No. 123",
  "ef_ev_per_atom": 1.06,
  "lattice": [[5.0985, 0.0000, 0.0000], [0.0000, 5.0985, 0.0000], [0.0000, 0.0000, 5.2238]],
  "species": ["Y", "Sc", "Sc", "Ge", "Al"],
  "fractional_positions": [[0.0000, 0.0000, 0.0000], [0.0000, 0.5000, 0.0000], [0.5000, 0.0000, 0.0000], [0.0000, 0.0000, 0.5000], [0.5000, 0.5000, 0.5000]]
}

---

{
  "formula": "ReRuAu2",
  "functional": "SCAN",
  "state": "single point on PBEsol structure",
  "de_polymorph_ev_per_atom": 0.022,
  "sg": "No. 10",
  "ef_ev_per_atom": 0.49,
  "lattice": [[-0.2001, 2.2603, -1.6054], [-4.5843, -0.9970, -0.8323], [0.3067, 2.8281, 3.9435]],
  "species": ["Au", "Au", "Re", "Ru"],
  "fractional_positions": [[0.0000, 0.0000, 0.0000], [0.5000, 0.5000, 0.0000], [0.5000, 0.0000, 0.5000], [0.0000, 0.5000, 0.5000]]
}

---

{
  "formula": "Li3ClO",
  "functional": "SCAN",
  "state": "single point on PBEsol structure",
  "formation_energy_uncorrected_ev_per_atom": -0.999,
  "de_polymorph_ev_per_atom": 1.001,
  "sg": "No. 221",
  "lattice": [[-3.1230, -2.1802, 1.8453], [0.7881, -3.2858, -2.5484], [2.7454, -1.5368, 2.8307]],
  "species": ["Li", "Li", "Li", "O", "Cl"],
  "fractional_positions": [[0.0000, 0.5000, 0.0000], [0.0000, 0.0000, 0.5000], [0.5000, 0.0000, 0.0000], [0.5000, 0.5000, 0.5000], [0.0000, 0.0000, 0.0000]]
}

---

{
  "formula": "Mg2Be2Si",
  "functional": "SCAN",
  "state": "single point on PBEsol structure",
  "formation_energy_uncorrected_ev_per_atom": 0.151,
  "sg": "No. 127",
  "lattice": [[4.0345, 0.0000, 0.0000], [0.0000, 5.9654, 0.0000], [0.0000, 0.0000, 5.9654]],
  "species": ["Be", "Be", "Be", "Be", "Si", "Si", "Mg", "Mg", "Mg", "Mg"],
  "fractional_positions": [[0.0000, 0.3725, 0.8725], [0.0000, 0.8725, 0.6275], [0.0000, 0.6275, 0.1275], [0.0000, 0.1275, 0.3725], [0.0000, 0.0000, 0.0000], [0.0000, 0.5000, 0.5000], [0.5000, 0.1704, 0.6704], [0.5000, 0.6704, 0.8296], [0.5000, 0.8296, 0.3296], [0.5000, 0.3296, 0.1704]]
}

---

{
  "formula": "GePtS2Cl",
  "functional": "SCAN",
  "state": "single point on PBEsol structure",
  "formation_energy_uncorrected_ev_per_atom": 0.282,
  "de_polymorph_ev_per_atom": 0.000,
  "sg": "No. 123",
  "lattice": [[4.6695, 0.0000, 0.0000], [0.0000, 4.6695, 0.0000], [0.0000, 0.0000, 4.6993]],
  "species": ["Ge", "S", "S", "Pt", "Cl"],
  "fractional_positions": [[0.5000, 0.5000, 0.5000], [0.0000, 0.5000, 0.0000], [0.5000, 0.0000, 0.0000], [0.0000, 0.0000, 0.0000], [0.0000, 0.0000, 0.5000]]
}

---

Question: Which formula does entry 12 have?
Answer: GePtS2Cl